## Sc2Fe2H (GGA-PBEsol)

Data for a geometry-optimized Sc2Fe2H structure.

The structure in extended XYZ format:
```
5
Lattice="-2.468 2.468 2.862 2.468 -2.468 2.862 2.468 2.468 -2.862" Properties=species:S:1:pos:R:3 pbc="T T T"
Sc 2.468 0.000 1.431
Sc 0.000 2.468 1.431
Fe 0.000 0.000 1.140
Fe 0.000 0.000 4.585
H 0.000 0.000 2.862
```

## Properties
- Spin magnetization: 1.90 Bohr magnetons per cell
- Uncorrected energy: -6.48 eV/atom
- Crystal system: tetragonal